Here is a relaxed structure of BaCu2Ir from the Alexandria database. Energies are from PBE.

Values from the calculation:
density = 8.45 Mg/m³
energy above the lowest structure with this stoichiometry = 416 meV/atom
total magnetization = 0.0 μB/f.u.
DFT total energy = -0.321 Ry per atom
density of states at the Fermi level = 0.655 states/eV/atom

a b c (Å): 5.1236 5.1236 5.1236
angles (deg): 130.53 112.72 87.93
Positions (direct):
Ba1 0.2500 0.7500 0.5000
Cu1 0.9226 0.9226 0.0000
Cu2 0.5774 0.5774 0.0000
Ir1 0.7500 0.2500 0.5000